i | Computed, not measured: an optimized crystal structure of Li2AlCl at the PBE-GGA level of DFT.

The structure belongs to space group Fm-3m (No. 225); the cell edges are 6.923, 6.923 and 6.923 Å and the angles 90.00°, 90.00° and 90.00°. The inequivalent atoms are Li at (0.250, 0.250, 0.250), Al at (0.000, 0.000, 0.000) and Cl at (0.000, 0.000, 0.500).

ii | Computed, not measured: an optimized crystal structure of Li2AlCl at the PBE-GGA level of DFT.

The structure belongs to space group Cmmm (No. 65); the cell edges are 3.461, 5.352 and 8.034 Å and the angles 90.00°, 90.00° and 90.00°. The inequivalent atoms are Li at (0.000, 0.000, 0.203), Al at (0.000, 0.500, 0.500) and Cl at (0.000, 0.500, 0.000).

iii | Computed, not measured: an optimized crystal structure of Li2AlCl at the PBE-GGA level of DFT.

The structure belongs to space group R3m (No. 160, hexagonal axes); the cell edges are 3.3741, 3.3741 and 25.4649 Å and the angles 90.00°, 90.00° and 120.00°. The inequivalent atoms are Li at (0.0000, 0.0000, 0.0000), Li at (0.0000, 0.0000, 0.2236), Al at (0.0000, 0.0000, 0.7419) and Cl at (0.0000, 0.0000, 0.5111).

iv | Computed, not measured: an optimized crystal structure of Li2AlCl at the PBE-GGA level of DFT.

The structure belongs to space group Immm (No. 71); the cell edges are 3.143, 6.210 and 8.651 Å and the angles 90.00°, 90.00° and 90.00°. The inequivalent atoms are Li at (0.000, 0.000, 0.205), Al at (0.000, 0.500, 0.000) and Cl at (0.000, 0.500, 0.500).

Of them, the most stable is ii and the least stable is i.

i | Computed, not measured: an optimized crystal structure of Li2AlCl at the PBE-GGA level of DFT.

The structure belongs to space group Cm (No. 8); the cell edges are 15.927, 3.012 and 3.277 Å and the angles 90.00°, 101.85° and 90.00°. The inequivalent atoms are Li at (0.000, 0.000, 0.000), Li at (0.198, 0.000, 0.697), Al at (0.330, 0.500, 0.329) and Cl at (0.074, 0.500, 0.574).

ii | Computed, not measured: an optimized crystal structure of Li2AlCl at the PBE-GGA level of DFT.

The structure belongs to space group I-4m2 (No. 119); the cell edges are 3.641, 3.641 and 11.955 Å and the angles 90.00°, 90.00° and 90.00°. The inequivalent atoms are Li at (0.000, 0.000, 0.000), Li at (0.000, 0.500, 0.250), Al at (0.000, 0.500, 0.750) and Cl at (0.000, 0.000, 0.500).

iii | Computed, not measured: an optimized crystal structure of Li2AlCl at the PBE-GGA level of DFT.

The structure belongs to space group I-42d (No. 122); the cell edges are 6.773, 6.773 and 7.333 Å and the angles 90.00°, 90.00° and 90.00°. The inequivalent atoms are Li at (0.190, 0.250, 0.125), Al at (0.000, 0.000, 0.500) and Cl at (0.000, 0.000, 0.000).

iv | Computed, not measured: an optimized crystal structure of Li2AlCl at the PBE-GGA level of DFT.

The structure belongs to space group Cmmm (No. 65); the cell edges are 5.634, 8.293 and 3.110 Å and the angles 90.00°, 90.00° and 90.00°. The inequivalent atoms are Li at (0.250, 0.250, 0.000), Al at (0.000, 0.000, 0.500) and Cl at (0.000, 0.500, 0.500).

Of them, the most stable is i and the least stable is iv.

i | Computed, not measured: an optimized crystal structure of LiAlCl at the PBE-GGA level of DFT.

The structure belongs to space group I4mm (No. 107); the cell edges are 3.232, 3.232 and 12.698 Å and the angles 90.00°, 90.00° and 90.00°. The inequivalent atoms are Li at (0.000, 0.000, 0.000), Al at (0.000, 0.000, 0.322) and Cl at (0.000, 0.000, 0.548).

ii | Computed, not measured: an optimized crystal structure of LiAlCl at the PBE-GGA level of DFT.

The structure belongs to space group P3m1 (No. 156); the cell edges are 3.4046, 3.4046 and 5.8791 Å and the angles 90.00°, 90.00° and 120.00°. The inequivalent atoms are Li at (0.0000, 0.0000, 0.0000), Al at (0.6667, 0.3333, 0.6218) and Cl at (0.3333, 0.6667, 0.2192).

iii | Computed, not measured: an optimized crystal structure of LiAlCl at the PBE-GGA level of DFT.

The structure belongs to space group F-43m (No. 216); the cell edges are 6.606, 6.606 and 6.606 Å and the angles 90.00°, 90.00° and 90.00°. The inequivalent atoms are Li at (0.000, 0.000, 0.000), Al at (0.250, 0.250, 0.750) and Cl at (0.250, 0.250, 0.250).

Of them, the most stable is i and the least stable is iii.

i | Computed, not measured: an optimized crystal structure of LiAl2ReCl at the PBE-GGA level of DFT.

The structure belongs to space group P4/mmm (No. 123); the cell edges are 4.928, 4.928 and 3.852 Å and the angles 90.00°, 90.00° and 90.00°. The inequivalent atoms are Li at (0.000, 0.000, 0.000), Al at (0.000, 0.500, 0.000), Re at (0.500, 0.500, 0.500) and Cl at (0.000, 0.000, 0.500).

ii | Computed, not measured: an optimized crystal structure of LiAl2ReCl at the PBE-GGA level of DFT.

The structure belongs to space group P4/mmm (No. 123); the cell edges are 4.882, 4.882 and 4.908 Å and the angles 90.00°, 90.00° and 90.00°. The inequivalent atoms are Li at (0.000, 0.000, 0.000), Al at (0.000, 0.500, 0.500), Re at (0.500, 0.500, 0.500) and Cl at (0.500, 0.500, 0.000).

Of them, the most stable is ii and the least stable is i.

i | Computed, not measured: an optimized crystal structure of Li2AlZnCl at the PBE-GGA level of DFT.

The structure belongs to space group P4/mmm (No. 123); the cell edges are 4.391, 4.391 and 5.622 Å and the angles 90.00°, 90.00° and 90.00°. The inequivalent atoms are Li at (0.000, 0.500, 0.000), Al at (0.000, 0.000, 0.500), Zn at (0.500, 0.500, 0.500) and Cl at (0.000, 0.000, 0.000).

ii | Computed, not measured: an optimized crystal structure of Li2AlZnCl at the PBE-GGA level of DFT.

The structure belongs to space group P4/mmm (No. 123); the cell edges are 5.350, 5.350 and 5.045 Å and the angles 90.00°, 90.00° and 90.00°. The inequivalent atoms are Li at (0.000, 0.500, 0.000), Al at (0.000, 0.000, 0.000), Zn at (0.500, 0.500, 0.500) and Cl at (0.000, 0.000, 0.500).

Of them, the most stable is i and the least stable is ii.

i | Computed, not measured: an optimized crystal structure of MgAlCl2 at the PBE-GGA level of DFT.

The structure belongs to space group P2/m (No. 10); the cell edges are 6.024, 3.307 and 6.037 Å and the angles 90.00°, 107.02° and 90.00°. The inequivalent atoms are Mg at (0.000, 0.000, 0.000), Al at (0.500, 0.000, 0.500) and Cl at (0.177, 0.500, 0.821).

ii | Computed, not measured: an optimized crystal structure of MgAlCl2 at the PBE-GGA level of DFT.

The structure belongs to space group P4/mmm (No. 123); the cell edges are 3.145, 3.145 and 11.651 Å and the angles 90.00°, 90.00° and 90.00°. The inequivalent atoms are Mg at (0.000, 0.000, 0.000), Al at (0.000, 0.000, 0.500) and Cl at (0.500, 0.500, 0.130).

Of them, the most stable is i and the least stable is ii.

i | Computed, not measured: an optimized crystal structure of MgAlP2Cl at the PBE-GGA level of DFT.

The structure belongs to space group P4/mmm (No. 123); the cell edges are 4.914, 4.914 and 4.750 Å and the angles 90.00°, 90.00° and 90.00°. The inequivalent atoms are Mg at (0.000, 0.000, 0.000), Al at (0.500, 0.500, 0.500), P at (0.000, 0.500, 0.000) and Cl at (0.000, 0.000, 0.500).

ii | Computed, not measured: an optimized crystal structure of MgAlP2Cl at the PBE-GGA level of DFT.

The structure belongs to space group P4/mmm (No. 123); the cell edges are 4.668, 4.668 and 4.856 Å and the angles 90.00°, 90.00° and 90.00°. The inequivalent atoms are Mg at (0.000, 0.000, 0.000), Al at (0.500, 0.500, 0.500), P at (0.000, 0.500, 0.500) and Cl at (0.500, 0.500, 0.000).

Of them, the most stable is ii and the least stable is i.

i | Computed, not measured: an optimized crystal structure of Mn2AlCl at the PBE-GGA level of DFT.

The structure belongs to space group Pmmm (No. 47); the cell edges are 2.974, 3.013 and 7.350 Å and the angles 90.00°, 90.00° and 90.00°. The inequivalent atoms are Mn at (0.000, 0.000, 0.224), Al at (0.500, 0.500, 0.000) and Cl at (0.500, 0.000, 0.500).

ii | Computed, not measured: an optimized crystal structure of Mn2AlCl at the PBE-GGA level of DFT.

The structure belongs to space group Immm (No. 71); the cell edges are 2.927, 5.209 and 8.439 Å and the angles 90.00°, 90.00° and 90.00°. The inequivalent atoms are Mn at (0.000, 0.000, 0.243), Al at (0.000, 0.500, 0.000) and Cl at (0.000, 0.500, 0.500).

iii | Computed, not measured: an optimized crystal structure of Mn2AlCl at the PBE-GGA level of DFT.

The structure belongs to space group R-3m (No. 166, hexagonal axes); the cell edges are 3.0355, 3.0355 and 23.8202 Å and the angles 90.00°, 90.00° and 120.00°. The inequivalent atoms are Mn at (0.0000, 0.0000, 0.2494), Al at (0.0000, 0.0000, 0.0000) and Cl at (0.0000, 0.0000, 0.5000).

iv | Computed, not measured: an optimized crystal structure of Mn2AlCl at the PBE-GGA level of DFT.

The structure belongs to space group P4/mmm (No. 123); the cell edges are 2.911, 2.911 and 7.315 Å and the angles 90.00°, 90.00° and 90.00°. The inequivalent atoms are Mn at (0.000, 0.000, 0.237), Al at (0.500, 0.500, 0.000) and Cl at (0.500, 0.500, 0.500).

Of them, the most stable is i and the least stable is ii.

i | Computed, not measured: an optimized crystal structure of Mn2AlCl at the PBE-GGA level of DFT.

The structure belongs to space group Fm-3m (No. 225); the cell edges are 5.885, 5.885 and 5.885 Å and the angles 90.00°, 90.00° and 90.00°. The inequivalent atoms are Mn at (0.250, 0.250, 0.250), Al at (0.000, 0.000, 0.000) and Cl at (0.000, 0.000, 0.500).

ii | Computed, not measured: an optimized crystal structure of Mn2AlCl at the PBE-GGA level of DFT.

The structure belongs to space group Cmmm (No. 65); the cell edges are 5.599, 7.860 and 2.961 Å and the angles 90.00°, 90.00° and 90.00°. The inequivalent atoms are Mn at (0.250, 0.250, 0.000), Al at (0.000, 0.000, 0.500) and Cl at (0.000, 0.500, 0.500).

iii | Computed, not measured: an optimized crystal structure of Mn2AlCl at the PBE-GGA level of DFT.

The structure belongs to space group I4/mmm (No. 139); the cell edges are 4.173, 4.173 and 7.596 Å and the angles 90.00°, 90.00° and 90.00°. The inequivalent atoms are Mn at (0.000, 0.500, 0.250), Al at (0.000, 0.000, 0.000) and Cl at (0.000, 0.000, 0.500).

iv | Computed, not measured: an optimized crystal structure of Mn2AlCl at the PBE-GGA level of DFT.

The structure belongs to space group Imm2 (No. 44); the cell edges are 2.938, 3.958 and 11.859 Å and the angles 90.00°, 90.00° and 90.00°. The inequivalent atoms are Mn at (0.000, 0.000, 0.000), Mn at (0.000, 0.500, 0.302), Al at (0.000, 0.500, 0.859) and Cl at (0.000, 0.000, 0.622).

Of them, the most stable is iv and the least stable is i.